[1]
Entry from Alexandria via LeMat-Bulk: an optimized crystal structure of KMnOs2 (GGA-PBE).

Calculated values
symmetry: Fm-3m, No. 225
energy above the most stable polymorph in this dataset: 1094 meV/atom
ΔH_f (0 K): 174.60 kJ per mole of atoms

Cell lengths 4.426, 4.426, 4.426 Å; angles 60.00, 60.00, 60.00 degrees
Element x y z (fractional)
K 0.000 0.000 0.000
Mn 0.500 0.500 0.500
Os 0.250 0.250 0.250
Os 0.750 0.750 0.750

[2]
Entry from Alexandria via LeMat-Bulk: an optimized crystal structure of LiCaCeCl6 (GGA-PBE).

Calculated values
formation energy (no corrections): -2.156 eV per atom
symmetry: P-31c, No. 163

Cell lengths 6.777, 6.777, 12.335 Å; angles 90.00, 90.00, 120.00 degrees
Site moments in Bohr magnetons follow the coordinates.
Element x y z (fractional)
Li 0.333 0.667 0.250  0.00
Li 0.667 0.333 0.750  0.00
Ca 0.000 0.000 0.000  0.00
Ca 0.000 0.000 0.500  0.00
Ce 0.667 0.333 0.250  0.98
Ce 0.333 0.667 0.750  0.98
Cl 0.653 0.670 0.128  0.00
Cl 0.017 0.347 0.128  0.00
Cl 0.347 0.017 0.628  0.00
Cl 0.983 0.653 0.872  0.00
Cl 0.330 0.347 0.372  0.00
Cl 0.017 0.670 0.372  0.00
Cl 0.670 0.017 0.872  0.00
Cl 0.653 0.983 0.372  0.00
Cl 0.983 0.330 0.628  0.00
Cl 0.330 0.983 0.128  0.00
Cl 0.670 0.653 0.628  0.00
Cl 0.347 0.330 0.872  0.00

[3]
Entry from Alexandria via LeMat-Bulk: an optimized crystal structure of CaLa2Cd (GGA-PBE).

Calculated values
symmetry: C2/m, No. 12
ΔH_f (0 K): -13.22 kJ per mole of atoms

Cell lengths 5.478, 5.478, 9.729 Å; angles 106.36, 106.36, 89.97 degrees
Element x y z (fractional)
Ca 0.351 0.351 0.202
Ca 0.649 0.649 0.798
La 0.863 0.863 0.226
La 0.137 0.137 0.774
La 0.500 0.000 0.500
La 0.000 0.500 0.500
Cd 0.250 0.750 0.000
Cd 0.750 0.250 0.000

[4]
Entry from Alexandria via LeMat-Bulk: an optimized crystal structure of TaVCu6S8 (GGA-PBE).

Calculated values
formation energy (no corrections): -0.616 eV per atom
symmetry: P-4m2, No. 115

Cell lengths 7.753, 7.753, 5.489 Å; angles 90.00, 90.00, 90.00 degrees
Element x y z (fractional)
Ta 0.000 0.000 0.000
V 0.500 0.500 0.000
Cu 0.254 0.746 0.000
Cu 0.746 0.254 0.000
Cu 0.254 0.254 0.000
Cu 0.746 0.746 0.000
Cu 0.000 0.000 0.500
Cu 0.500 0.500 0.500
S 0.500 0.267 0.765
S 0.000 0.755 0.757
S 0.500 0.733 0.765
S 0.000 0.245 0.757
S 0.755 0.000 0.243
S 0.267 0.500 0.235
S 0.245 0.000 0.243
S 0.733 0.500 0.235

[5]
Entry from Alexandria via LeMat-Bulk: an optimized crystal structure of Sr2GeP (GGA-PBE).

Calculated values
symmetry: I-42d, No. 122
energy above the most stable polymorph in this dataset: 152 meV/atom
ΔH_f (0 K): -32.40 kJ per mole of atoms

Cell lengths 8.358, 8.358, 6.850 Å; angles 52.41, 52.41, 90.00 degrees
Element x y z (fractional)
Sr 0.598 0.125 0.250
Sr 0.152 0.625 0.250
Sr 0.375 0.402 0.750
Sr 0.875 0.848 0.750
Ge 0.000 0.000 0.000
Ge 0.750 0.250 0.500
P 0.500 0.500 0.000
P 0.250 0.750 0.500

[6]
Entry from Alexandria via LeMat-Bulk: an optimized crystal structure of KHf2In2 (GGA-PBE).

Calculated values
symmetry: P4/mbm, No. 127
energy above the most stable polymorph in this dataset: 0 meV/atom
ΔH_f (0 K): 10.08 kJ per mole of atoms

Cell lengths 9.180, 9.180, 3.061 Å; angles 90.00, 90.00, 90.00 degrees
Element x y z (fractional)
K 0.000 0.000 0.000
K 0.500 0.500 0.000
Hf 0.380 0.880 0.000
Hf 0.880 0.620 0.000
Hf 0.620 0.120 0.000
Hf 0.120 0.380 0.000
In 0.173 0.673 0.500
In 0.673 0.827 0.500
In 0.827 0.327 0.500
In 0.327 0.173 0.500

[7]
Entry from Alexandria via LeMat-Bulk: an optimized crystal structure of CsBaTl2Bi2 (GGA-PBE).

Calculated values
symmetry: P-3m1, No. 164
ΔH_f (0 K): -39.13 kJ per mole of atoms

Cell lengths 5.109, 5.109, 11.539 Å; angles 90.00, 90.00, 120.00 degrees
Element x y z (fractional)
Cs 0.000 0.000 0.500
Ba 0.000 0.000 0.000
Tl 0.333 0.667 0.713
Tl 0.667 0.333 0.287
Bi 0.333 0.667 0.180
Bi 0.667 0.333 0.820

[8]
Entry from Alexandria via LeMat-Bulk: an optimized crystal structure of Li2CdAg (GGA-PBE).

Calculated values
symmetry: C2/m, No. 12
ΔH_f (0 K): -21.03 kJ per mole of atoms

Cell lengths 4.957, 4.957, 4.402 Å; angles 63.85, 63.85, 47.29 degrees
Element x y z (fractional)
Li 0.004 0.004 0.995
Li 0.496 0.496 0.505
Ag 0.750 0.750 0.750
Cd 0.250 0.250 0.250

[9]
Entry from Alexandria via LeMat-Bulk: an optimized crystal structure of La2PSe (GGA-PBE).

Calculated values
formation energy (no corrections): -1.778 eV per atom
symmetry: R3m, No. 160
energy above the most stable polymorph in this dataset: 86 meV/atom

Cell lengths 4.199, 4.199, 7.815 Å; angles 74.41, 74.41, 60.00 degrees
Element x y z (fractional)
La 0.075 0.075 0.774
La 0.258 0.258 0.225
P 0.668 0.668 0.997
Se 0.499 0.499 0.504

[10]
Entry from Alexandria via LeMat-Bulk: an optimized crystal structure of HgRuW (GGA-PBE).

Calculated values
symmetry: Fmm2, No. 42
energy above the most stable polymorph in this dataset: 188 meV/atom
ΔH_f (0 K): 53.74 kJ per mole of atoms

Cell lengths 7.627, 7.408, 2.807 Å; angles 83.67, 74.88, 21.45 degrees
Site moments in Bohr magnetons follow the coordinates.
Element x y z (fractional)
Hg 0.998 0.998 0.002  0.00
Ru 0.322 0.322 0.678  0.21
W 0.680 0.680 0.320  0.00

[11]
Entry from Alexandria via LeMat-Bulk: an optimized crystal structure of La2Co2Bi (GGA-PBE).

Calculated values
symmetry: P4/mbm, No. 127
energy above the most stable polymorph in this dataset: 0 meV/atom
ΔH_f (0 K): -29.32 kJ per mole of atoms

Cell lengths 7.475, 7.475, 4.188 Å; angles 90.00, 90.00, 90.00 degrees
Site moments in Bohr magnetons follow the coordinates.
Element x y z (fractional)
Co 0.394 0.894 0.000  0.91
Co 0.894 0.606 0.000  0.89
Co 0.606 0.106 0.000  0.91
Co 0.106 0.394 0.000  0.89
Bi 0.000 0.000 0.000  0.04
Bi 0.500 0.500 0.000  0.04
La 0.181 0.681 0.500  -0.11
La 0.681 0.819 0.500  -0.11
La 0.819 0.319 0.500  -0.11
La 0.319 0.181 0.500  -0.11